A plane-wave DFT calculation with PBE was carried out for an optimized crystal structure of Co2PbSe.

```
Co2PbSe
1.0
1.9536 1.1279 6.0508
-1.9536 1.1279 6.0508
0.0000 -2.2558 6.0508
Co Pb Se
2 1 1
Cartesian
0.0000 0.0000 0.0000
0.0000 0.0000 5.7497
0.0000 0.0000 13.9535
0.0000 0.0000 10.7089
```

Calculated values
total energy: -5.234 eV per atom
uncorrected formation energy: 2.69 kcal/mol of atoms
magnetic moment: 0.79 μB/atom
SG: R3m
V: 19.998 Å³ per atom
crystal system: trigonal